Below is an optimized crystal structure of Li2H2Pd, with properties calculated at the PBE level.

```
Li2H2Pd
1.0
6.7700 -1.4520 0.0000
6.7700 1.4520 0.0000
-6.6561 0.0000 6.9402
Li H Pd
6 6 3
Cartesian
1.2061 0.0000 0.6830
-3.5042 0.0000 5.6999
-1.1274 0.0000 3.8055
8.0113 0.0000 3.1346
10.3880 0.0000 1.2402
5.6777 0.0000 6.2572
-0.0912 0.0000 2.1522
2.4307 0.0000 2.1295
4.5481 0.0000 0.1533
2.3358 0.0000 6.7869
4.4532 0.0000 4.8106
6.9751 0.0000 4.7879
1.0381 0.0000 5.4728
3.4419 0.0000 3.4701
5.8457 0.0000 1.4674
```

Values from the calculation:
Calculated total energy   -3.568 eV/atom
Symmetry   C2/m

Below is an optimized crystal structure of TlTcAuSe2S, with properties calculated at the PBE level.

```
TlTcAuSe2S
1.0
1.8935 -8.7669 0.0000
1.8935 8.7669 0.0000
0.0000 0.0000 9.0798
Tl Tc Au Se S
2 2 2 4 2
Cartesian
1.8935 4.8064 6.8098
1.8935 -4.8064 2.2699
1.8935 0.0000 0.0000
1.8935 0.0000 4.5399
1.8935 6.2273 2.2699
1.8935 -6.2273 6.8098
1.8935 6.9407 4.6515
1.8935 6.9407 8.9682
1.8935 -6.9407 0.1116
1.8935 -6.9407 4.4283
1.8935 0.0096 6.8098
1.8935 -0.0096 2.2699
```

Values from the calculation:
Calculated total energy   -4.636 eV/atom
Spin magnetization   0.80 μB/f.u.
Symmetry   Cmcm

Below is an optimized crystal structure of ZrBiTe, with properties calculated at the PBE level.

```
ZrBiTe
1.0
0.0000 3.5776 3.5776
3.5776 0.0000 3.5776
3.5776 3.5776 0.0000
Zr Bi Te
1 1 1
Cartesian
0.0000 0.0000 0.0000
3.5776 3.5776 3.5776
5.3664 5.3664 5.3664
```

Values from the calculation:
Calculated total energy   -5.032 eV/atom
Spin magnetization   0.68 μB/f.u.
Symmetry   F-43m

Below is an optimized crystal structure of Th4Fe13Sn5, with properties calculated at the PBE level.

```
Th4Fe13Sn5
1.0
8.1958 0.0000 0.0000
0.0000 8.1958 0.0000
0.0000 0.0000 11.9893
Th Fe Sn
8 26 10
Cartesian
0.0000 0.0000 2.5803
0.0000 0.0000 9.4090
1.2731 2.8248 5.9947
2.8248 6.9227 5.9947
4.0979 4.0979 2.5803
4.0979 4.0979 9.4090
5.3710 1.2731 5.9947
6.9227 5.3710 5.9947
0.0000 4.0979 0.0000
0.5510 1.6942 0.0000
1.0155 3.0824 2.1571
1.0155 3.0824 9.8323
1.4483 5.5462 1.2720
1.4483 5.5462 10.7174
1.6942 7.6448 0.0000
2.4037 3.5469 0.0000
2.6496 1.4483 1.2720
2.6496 1.4483 10.7174
3.0824 7.1803 2.1571
3.0824 7.1803 9.8323
3.5469 5.7921 0.0000
4.0979 0.0000 0.0000
4.6489 2.4037 0.0000
5.1134 1.0155 2.1571
5.1134 1.0155 9.8323
5.5462 6.7475 1.2720
5.5462 6.7475 10.7174
5.7921 4.6489 0.0000
6.5016 0.5510 0.0000
6.7475 2.6496 1.2720
6.7475 2.6496 10.7174
7.1803 5.1134 2.1571
7.1803 5.1134 9.8323
7.6448 6.5016 0.0000
0.0000 0.0000 5.9947
1.2022 5.3001 3.8161
1.2022 5.3001 8.1733
2.8957 1.2022 3.8161
2.8957 1.2022 8.1733
4.0979 4.0979 5.9947
5.3001 6.9936 3.8161
5.3001 6.9936 8.1733
6.9936 2.8957 3.8161
6.9936 2.8957 8.1733
```

Values from the calculation:
Calculated total energy   -7.386 eV/atom
Spin magnetization   29.03 μB/f.u.
Symmetry   P4/mbm

Below is an optimized crystal structure of PmPaPb, with properties calculated at the PBE level.

```
PmPaPb
1.0
0.0000 3.7132 3.7132
3.7132 0.0000 3.7132
3.7132 3.7132 0.0000
Pm Pa Pb
1 1 1
Cartesian
0.0000 0.0000 0.0000
3.7132 3.7132 3.7132
5.5698 5.5698 5.5698
```

Values from the calculation:
Calculated total energy   -5.596 eV/atom
Spin magnetization   2.09 μB/f.u.
Symmetry   F-43m
Energy relative to the lowest polymorph listed for this composition   0.00 eV/f.u.

Below is an optimized crystal structure of DyAuSeO, with properties calculated at the PBE level.

```
DyAuSeO
1.0
19.1714 0.0000 0.0000
0.0000 2.8054 2.8124
0.0000 -2.8054 2.8124
Dy Au Se O
4 4 4 4
Cartesian
1.0973 -1.4023 2.8124
8.4885 1.4030 2.8124
10.6830 -1.4030 2.8124
18.0742 1.4023 2.8124
4.7895 0.0130 0.0165
4.7963 0.0130 2.8289
14.3820 -0.0130 0.0165
14.3752 -0.0130 2.8289
2.6642 1.4101 2.8167
6.9215 -1.3953 2.8167
12.2500 1.3953 2.8167
16.5072 -1.4101 2.8167
0.0000 0.0000 1.4066
0.0000 0.0000 4.2189
9.5857 0.0000 1.4065
9.5857 0.0000 4.2191
```

Values from the calculation:
Calculated total energy   -5.986 eV/atom
Spin magnetization   0.00 μB/f.u.
Symmetry   Aea2
Energy relative to the lowest polymorph listed for this composition   0.03 eV/f.u.

Below is an optimized crystal structure of MgAl2FeCu4, with properties calculated at the PBE level.

```
MgAl2FeCu4
1.0
-2.9432 2.9432 5.9467
2.9432 -2.9432 5.9467
2.9432 2.9432 -5.9467
Mg Al Fe Cu
2 4 2 8
Cartesian
2.9432 1.4716 1.4867
0.0000 1.4716 4.4600
2.9432 1.4716 -1.4623
0.0000 1.4716 1.5110
2.9432 1.4716 4.4357
0.0000 1.4716 7.4090
2.9432 -1.4716 4.4600
0.0000 4.4149 1.4867
1.3932 0.0000 0.0000
4.4933 0.0000 0.0000
1.4716 2.8649 -2.9733
1.4716 -0.0784 2.9733
1.3932 2.9432 0.0000
1.5500 0.0000 5.9467
-1.4716 3.0216 2.9733
1.4716 3.0216 2.9733
```

Values from the calculation:
Calculated total energy   -4.133 eV/atom
Spin magnetization   2.53 μB/f.u.
Symmetry   I4_1/amd
Energy relative to the lowest polymorph listed for this composition   0.05 eV/f.u.

Below is an optimized crystal structure of LaTbGe2Ir, with properties calculated at the PBE level.

```
LaTbGe2Ir
1.0
5.4889 -2.1360 0.0000
5.4889 2.1360 0.0000
-5.1196 0.0000 9.8786
La Tb Ge Ir
2 2 4 2
Cartesian
1.5089 0.0000 1.4760
4.3493 0.0000 8.4027
1.3588 0.0000 6.0127
4.4994 0.0000 3.8659
-1.8328 0.0000 6.0158
4.5650 0.0000 0.8425
1.2932 0.0000 9.0361
7.6910 0.0000 3.8629
-3.5259 0.0000 7.9293
9.3841 0.0000 1.9493
```

Values from the calculation:
Calculated total energy   -6.404 eV/atom
Spin magnetization   0.00 μB/f.u.
Symmetry   C2/m

Below is an optimized crystal structure of LuTaFeAs, with properties calculated at the PBE level.

```
LuTaFeAs
1.0
0.0000 3.2478 3.2478
3.2478 0.0000 3.2478
3.2478 3.2478 0.0000
Lu Ta Fe As
1 1 1 1
Cartesian
0.0000 0.0000 0.0000
4.8717 4.8717 4.8717
3.2478 3.2478 3.2478
1.6239 1.6239 1.6239
```

Values from the calculation:
Calculated total energy   -6.952 eV/atom
Spin magnetization   1.60 μB/f.u.
Symmetry   F-43m

Below is an optimized crystal structure of KFeCoP2, with properties calculated at the PBE level.

```
KFeCoP2
1.0
-1.8556 1.8556 6.4413
1.8556 -1.8556 6.4413
1.8556 1.8556 -6.4413
K Fe Co P
1 1 1 2
Cartesian
0.0000 0.0000 0.0000
0.0000 1.8556 3.2206
1.8556 0.0000 3.2206
0.0000 0.0000 4.3809
0.0000 0.0000 8.5016
```

Values from the calculation:
Calculated total energy   -6.058 eV/atom
Spin magnetization   0.00 μB/f.u.
Symmetry   I-4m2

Below is an optimized crystal structure of Hf4Zr2Sb3C3, with properties calculated at the PBE level.

```
Hf4Zr2Sb3C3
1.0
5.1413 -2.9669 0.0000
5.1413 2.9669 0.0000
-3.4269 0.0000 13.9241
Hf Zr Sb C
8 4 6 6
Cartesian
0.8563 0.5067 1.1921
0.8661 0.4895 5.7701
-0.8572 -0.5067 8.1542
-0.8473 -0.4895 12.7322
7.7031 0.4895 1.1919
7.7129 0.5067 5.7699
5.9896 -0.4895 8.1540
5.9995 -0.5067 12.7320
4.2943 0.4909 1.2377
4.2750 0.4909 5.7243
2.5808 -0.4909 8.1998
2.5615 -0.4909 12.6864
4.2846 2.5081 3.4810
0.8305 0.5044 10.4381
2.5439 -0.5044 3.4761
4.3118 0.5044 10.4480
6.0253 -0.5044 3.4860
2.5711 -2.5081 10.4431
2.5707 1.4834 0.0000
2.5520 1.5147 6.9621
6.0172 1.5147 0.0000
0.8572 -1.4834 6.9621
4.2655 -1.5147 0.0000
4.3038 -1.5147 6.9621
```

Values from the calculation:
Calculated total energy   -8.843 eV/atom
Spin magnetization   0.01 μB/f.u.
Symmetry   C2/c

Below is an optimized crystal structure of PrGdAg2Bi2Sb2, with properties calculated at the PBE level.

```
PrGdAg2Bi2Sb2
1.0
4.4837 0.0000 0.0000
0.0000 4.4837 0.0000
0.0000 0.0000 10.5607
Pr Gd Ag Bi Sb
1 1 2 2 2
Cartesian
0.0000 0.0000 0.0000
2.2418 2.2418 5.2556
0.0000 2.2418 7.8332
2.2418 0.0000 7.8332
0.0000 2.2418 2.6835
2.2418 0.0000 2.6835
0.0000 0.0000 5.9821
2.2418 2.2418 9.6993
```

Values from the calculation:
Calculated total energy   -4.533 eV/atom
Spin magnetization   0.00 μB/f.u.
Symmetry   P4mm

Which formula does entry 7 have? MgAl2FeCu4